(1)
# Er2MgOs | the Alexandria database | SCAN | single point on PBEsol structure
data_Er2MgOs
_chemical_formula_sum 'Er8 Mg4 Os4'
_cell_length_a 6.9070
_cell_length_b 6.9070
_cell_length_c 6.9070
_cell_angle_alpha 90.00
_cell_angle_beta 90.00
_cell_angle_gamma 90.00
_symmetry_space_group_name_H-M 'F m -3 m'
_symmetry_Int_Tables_number 225
_symmetry_space_group_name_Hall '-F 4 2 3'
loop_
_atom_site_label
_atom_site_fract_x
_atom_site_fract_y
_atom_site_fract_z
_atom_site_occupancy
Er1 0.2500 0.2500 0.2500 1
Mg1 0.0000 0.0000 0.0000 1
Os1 0.0000 0.0000 0.5000 1
# Formation energy = -295.3 meV per atom
# Final energy = -44.6788 eV/atom

(2)
# K2BeSe2 | the Alexandria database | SCAN | single point on PBEsol structure
data_K2BeSe2
_chemical_formula_sum 'K4 Be2 Se4'
_cell_length_a 6.2894
_cell_length_b 6.2894
_cell_length_c 11.3978
_cell_angle_alpha 90.00
_cell_angle_beta 90.00
_cell_angle_gamma 90.00
_symmetry_space_group_name_H-M 'I 4/m m m'
_symmetry_Int_Tables_number 139
_symmetry_space_group_name_Hall '-I 4 2'
loop_
_atom_site_label
_atom_site_fract_x
_atom_site_fract_y
_atom_site_fract_z
_atom_site_occupancy
K1 0.0000 0.5000 0.2500 1
Be1 0.0000 0.0000 0.0000 1
Se1 0.0000 0.0000 0.1753 1
# Formation energy from raw total energies = -5.3 eV/f.u.
# Final energy = -13.3020 eV/atom

(3)
# AsP2SI | the Alexandria database | SCAN | single point on PBEsol structure
data_AsP2SI
_chemical_formula_sum 'As1 P2 S1 I1'
_cell_length_a 5.0832
_cell_length_b 5.0832
_cell_length_c 4.8255
_cell_angle_alpha 90.00
_cell_angle_beta 90.00
_cell_angle_gamma 90.00
_symmetry_space_group_name_H-M 'P 4/m m m'
_symmetry_Int_Tables_number 123
_symmetry_space_group_name_Hall '-P 4 2'
loop_
_atom_site_label
_atom_site_fract_x
_atom_site_fract_y
_atom_site_fract_z
_atom_site_occupancy
As1 0.0000 0.0000 0.0000 1
P1 0.0000 0.5000 0.5000 1
S1 0.5000 0.5000 0.0000 1
I1 0.5000 0.5000 0.5000 1
# Formation energy from raw total energies = 8.6 eV/f.u.
# Final energy = -15.7586 eV/atom

(4)
# NiPb2 | the Alexandria database | SCAN | single point on PBEsol structure
data_NiPb2
_chemical_formula_sum 'Ni2 Pb4'
_cell_length_a 5.9631
_cell_length_b 6.4276
_cell_length_c 3.5743
_cell_angle_alpha 90.00
_cell_angle_beta 90.00
_cell_angle_gamma 90.00
_symmetry_space_group_name_H-M 'P n n m'
_symmetry_Int_Tables_number 58
loop_
_symmetry_equiv_pos_as_xyz
'x,y,z'
'-x,-y,-z'
'-x,-y,z'
'x,y,-z'
'x+1/2,-y+1/2,-z+1/2'
'-x+1/2,y+1/2,z+1/2'
'-x+1/2,y+1/2,-z+1/2'
'x+1/2,-y+1/2,z+1/2'
loop_
_atom_site_label
_atom_site_fract_x
_atom_site_fract_y
_atom_site_fract_z
_atom_site_occupancy
Ni1 0.0000 0.0000 0.0000 1
Pb1 0.2289 0.3423 0.0000 1
# Formation energy = 72.8 meV per atom
# Final energy = -55.8390 eV/atom

(5)
# NaP2RuS | the Alexandria database | SCAN | single point on PBEsol structure
data_NaP2RuS
_chemical_formula_sum 'Na1 P2 Ru1 S1'
_cell_length_a 4.5945
_cell_length_b 4.5945
_cell_length_c 4.5586
_cell_angle_alpha 90.00
_cell_angle_beta 90.00
_cell_angle_gamma 90.00
_symmetry_space_group_name_H-M 'P 4/m m m'
_symmetry_Int_Tables_number 123
_symmetry_space_group_name_Hall '-P 4 2'
loop_
_atom_site_label
_atom_site_fract_x
_atom_site_fract_y
_atom_site_fract_z
_atom_site_occupancy
Na1 0.0000 0.0000 0.0000 1
P1 0.0000 0.5000 0.0000 1
Ru1 0.5000 0.5000 0.5000 1
S1 0.0000 0.0000 0.5000 1
# Formation energy from raw total energies = 9.2 eV/f.u.
# Final energy = -12.0500 eV/atom

(6)
# LiCaMn2 | the Alexandria database | SCAN | single point on PBEsol structure
data_LiCaMn2
_chemical_formula_sum 'Li2 Ca2 Mn4'
_cell_length_a 3.2075
_cell_length_b 4.9266
_cell_length_c 9.6553
_cell_angle_alpha 90.00
_cell_angle_beta 90.00
_cell_angle_gamma 90.00
_symmetry_space_group_name_H-M 'I m m 2'
_symmetry_Int_Tables_number 44
loop_
_symmetry_equiv_pos_as_xyz
'x,y,z'
'-x,-y,z'
'-x,y,z'
'x,-y,z'
'x+1/2,y+1/2,z+1/2'
'-x+1/2,-y+1/2,z+1/2'
'-x+1/2,y+1/2,z+1/2'
'x+1/2,-y+1/2,z+1/2'
loop_
_atom_site_label
_atom_site_fract_x
_atom_site_fract_y
_atom_site_fract_z
_atom_site_occupancy
Li1 0.0000 0.0000 0.0000 1
Ca1 0.0000 0.5000 0.2271 1
Mn1 0.0000 0.0000 0.4479 1
Mn2 0.0000 0.5000 0.7306 1
# Formation energy = 261.0 meV per atom
# Energy above the most stable polymorph in this dataset = 0.00 kcal/mol of atoms
# Final energy = -11.8799 eV/atom

(7)
# LaMoAs2 | the Alexandria database | SCAN | single point on PBEsol structure
data_LaMoAs2
_chemical_formula_sum 'La4 Mo4 As8'
_cell_length_a 4.9293
_cell_length_b 4.9293
_cell_length_c 16.2498
_cell_angle_alpha 90.00
_cell_angle_beta 90.00
_cell_angle_gamma 90.00
_symmetry_space_group_name_H-M 'I -4 2 d'
_symmetry_Int_Tables_number 122
_symmetry_space_group_name_Hall 'I -4 2bw'
loop_
_atom_site_label
_atom_site_fract_x
_atom_site_fract_y
_atom_site_fract_z
_atom_site_occupancy
La1 0.0000 0.0000 0.0000 1
Mo1 0.0000 0.0000 0.5000 1
As1 0.0846 0.2500 0.6250 1
# Formation energy = -301.5 meV per atom
# Energy above the most stable polymorph in this dataset = 0.00 kcal/mol of atoms
# Final energy = -29.8944 eV/atom

(8)
# Tl2SiPt | the Alexandria database | SCAN | single point on PBEsol structure
data_Tl2SiPt
_chemical_formula_sum 'Tl4 Si2 Pt2'
_cell_length_a 4.4544
_cell_length_b 4.4544
_cell_length_c 8.0672
_cell_angle_alpha 90.00
_cell_angle_beta 90.00
_cell_angle_gamma 90.00
_symmetry_space_group_name_H-M 'I 4/m m m'
_symmetry_Int_Tables_number 139
_symmetry_space_group_name_Hall '-I 4 2'
loop_
_atom_site_label
_atom_site_fract_x
_atom_site_fract_y
_atom_site_fract_z
_atom_site_occupancy
Tl1 0.0000 0.5000 0.2500 1
Si1 0.0000 0.0000 0.0000 1
Pt1 0.0000 0.0000 0.5000 1
# Formation energy from raw total energies = 2.2 eV/f.u.
# Final energy = -55.6912 eV/atom